First-principles (PBEsol) data for an optimized crystal structure of BaLi2Ca, as listed in the Alexandria database.

```
data_BaLi2Ca
_cell_length_a 12.714
_cell_length_b 3.805
_cell_length_c 6.077
_cell_angle_alpha 90.00
_cell_angle_beta 110.38
_cell_angle_gamma 90.00
_space_group_name_H-M_alt 'C 1 m 1'
_space_group_IT_number 8
loop_
_space_group_symop_operation_xyz
'x,y,z'
'x,-y,z'
'x+1/2,y+1/2,z'
'x+1/2,-y+1/2,z'
loop_
_atom_site_label
_atom_site_fract_x
_atom_site_fract_y
_atom_site_fract_z
Ba1 0.000 0.000 0.000
Li1 0.263 0.500 0.206
Li2 0.447 0.000 0.466
Ca1 0.205 0.000 0.651
```

## Properties
For the distance to the lowest polymorph of the same formula, the calculation gives 0.411 kcal/mol of atoms. The density of states at the Fermi level comes out at 0.8960 states/eV/atom. The spin magnetization comes out at 0.00 μB/f.u. The total DFT energy (no corrections) comes out at -2.00 eV/atom.

***

First-principles (PBEsol) data for an optimized crystal structure of LiZrIn4, as listed in the Alexandria database.

```
data_LiZrIn4
_cell_length_a 8.192
_cell_length_b 8.192
_cell_length_c 8.192
_cell_angle_alpha 90.00
_cell_angle_beta 90.00
_cell_angle_gamma 90.00
_space_group_name_H-M_alt 'F -4 3 m'
_space_group_IT_number 216
_space_group_name_Hall 'F -4 2 3'
loop_
_atom_site_label
_atom_site_fract_x
_atom_site_fract_y
_atom_site_fract_z
Li1 0.000 0.000 0.000
Zr1 0.250 0.250 0.250
In1 0.125 0.125 0.625
```

## Properties
The density of states at the Fermi level comes out at 0.8893 states/eV/atom. The spin magnetization comes out at 0.02 μB/f.u. The total DFT energy (no corrections) comes out at -3.79 eV/atom.

***

First-principles (PBEsol) data for an optimized crystal structure of Sc2AgPt, as listed in the Alexandria database.

```
data_Sc2AgPt
_cell_length_a 6.609
_cell_length_b 6.609
_cell_length_c 6.609
_cell_angle_alpha 90.00
_cell_angle_beta 90.00
_cell_angle_gamma 90.00
_space_group_name_H-M_alt 'F m -3 m'
_space_group_IT_number 225
_space_group_name_Hall '-F 4 2 3'
loop_
_atom_site_label
_atom_site_fract_x
_atom_site_fract_y
_atom_site_fract_z
Sc1 0.250 0.250 0.250
Ag1 0.000 0.000 0.000
Pt1 0.000 0.000 0.500
```

## Properties
The density of states at the Fermi level comes out at 0.6529 states/eV/atom. The spin magnetization comes out at 0.00 μB/f.u. The total DFT energy (no corrections) comes out at -6.65 eV/atom.

***

First-principles (PBEsol) data for an optimized crystal structure of K2Pb, as listed in the Alexandria database.

```
data_K2Pb
_cell_length_a 18.125
_cell_length_b 4.823
_cell_length_c 7.079
_cell_angle_alpha 90.00
_cell_angle_beta 101.29
_cell_angle_gamma 90.00
_space_group_name_H-M_alt 'C 1 2/m 1'
_space_group_IT_number 12
loop_
_space_group_symop_operation_xyz
'x,y,z'
'-x,-y,-z'
'-x,y,-z'
'x,-y,z'
'x+1/2,y+1/2,z'
'-x+1/2,-y+1/2,-z'
'-x+1/2,y+1/2,-z'
'x+1/2,-y+1/2,z'
loop_
_atom_site_label
_atom_site_fract_x
_atom_site_fract_y
_atom_site_fract_z
K1 0.082 0.000 0.292
K2 0.159 0.500 0.839
Pb1 0.233 0.500 0.366
```

## Properties
The density of states at the Fermi level comes out at 0.5792 states/eV/atom. The spin magnetization comes out at 0.00 μB/f.u. The total DFT energy (no corrections) comes out at -2.20 eV/atom.

***

First-principles (PBEsol) data for an optimized crystal structure of NaTe2Au, as listed in the Alexandria database.

```
data_NaTe2Au
_cell_length_a 8.213
_cell_length_b 8.213
_cell_length_c 6.278
_cell_angle_alpha 90.00
_cell_angle_beta 90.00
_cell_angle_gamma 90.00
_space_group_name_H-M_alt 'I -4 2 d'
_space_group_IT_number 122
_space_group_name_Hall 'I -4 2bw'
loop_
_atom_site_label
_atom_site_fract_x
_atom_site_fract_y
_atom_site_fract_z
Na1 0.000 0.000 0.000
Te1 0.194 0.750 0.625
Au1 0.000 0.000 0.500
```

## Properties
For the distance to the lowest polymorph of the same formula, the calculation gives 0.000 kcal/mol of atoms. The density of states at the Fermi level comes out at 0.2535 states/eV/atom. The spin magnetization comes out at 0.00 μB/f.u. The total DFT energy (no corrections) comes out at -3.43 eV/atom.

***

First-principles (PBEsol) data for an optimized crystal structure of LiMgCu2, as listed in the Alexandria database.

```
data_LiMgCu2
_cell_length_a 2.736
_cell_length_b 4.348
_cell_length_c 4.633
_cell_angle_alpha 90.00
_cell_angle_beta 90.00
_cell_angle_gamma 90.00
_space_group_name_H-M_alt 'P m m 2'
_space_group_IT_number 25
loop_
_space_group_symop_operation_xyz
'x,y,z'
'-x,-y,z'
'-x,y,z'
'x,-y,z'
loop_
_atom_site_label
_atom_site_fract_x
_atom_site_fract_y
_atom_site_fract_z
Li1 0.000 0.000 0.000
Mg1 0.000 0.500 0.359
Cu1 0.500 0.000 0.535
Cu2 0.500 0.500 0.849
```

## Properties
The density of states at the Fermi level comes out at 0.3175 states/eV/atom. The spin magnetization comes out at 0.00 μB/f.u. The total DFT energy (no corrections) comes out at -3.09 eV/atom.

***

First-principles (PBEsol) data for an optimized crystal structure of Mg2ZnRh, as listed in the Alexandria database.

```
data_Mg2ZnRh
_cell_length_a 3.850
_cell_length_b 3.850
_cell_length_c 8.335
_cell_angle_alpha 90.00
_cell_angle_beta 90.00
_cell_angle_gamma 90.00
_space_group_name_H-M_alt 'I -4 m 2'
_space_group_IT_number 119
_space_group_name_Hall 'I -4 -2'
loop_
_atom_site_label
_atom_site_fract_x
_atom_site_fract_y
_atom_site_fract_z
Mg1 0.000 0.000 0.000
Mg2 0.000 0.500 0.250
Zn1 0.000 0.500 0.750
Rh1 0.000 0.000 0.500
```

## Properties
The density of states at the Fermi level comes out at 0.3759 states/eV/atom. The spin magnetization comes out at 0.00 μB/f.u. The total DFT energy (no corrections) comes out at -3.60 eV/atom.

***

First-principles (PBEsol) data for an optimized crystal structure of Y2AsP, as listed in the Alexandria database.

```
data_Y2AsP
_cell_length_a 3.994
_cell_length_b 3.994
_cell_length_c 10.826
_cell_angle_alpha 90.00
_cell_angle_beta 90.00
_cell_angle_gamma 90.00
_space_group_name_H-M_alt 'I -4 m 2'
_space_group_IT_number 119
_space_group_name_Hall 'I -4 -2'
loop_
_atom_site_label
_atom_site_fract_x
_atom_site_fract_y
_atom_site_fract_z
Y1 0.000 0.000 0.000
Y2 0.000 0.500 0.250
As1 0.000 0.000 0.500
P1 0.000 0.500 0.750
```

## Properties
The density of states at the Fermi level comes out at 0.3097 states/eV/atom. The spin magnetization comes out at 0.00 μB/f.u. The total DFT energy (no corrections) comes out at -7.25 eV/atom.

***

First-principles (PBEsol) data for an optimized crystal structure of Ce2PbS4, as listed in the Alexandria database.

```
data_Ce2PbS4
_cell_length_a 8.524
_cell_length_b 8.524
_cell_length_c 8.523
_cell_angle_alpha 90.00
_cell_angle_beta 90.00
_cell_angle_gamma 90.00
_space_group_name_H-M_alt 'I -4 2 d'
_space_group_IT_number 122
_space_group_name_Hall 'I -4 2bw'
loop_
_atom_site_label
_atom_site_fract_x
_atom_site_fract_y
_atom_site_fract_z
Ce1 0.133 0.250 0.125
Pb1 0.000 0.000 0.500
S1 0.078 0.169 0.808
```

## Properties
The density of states at the Fermi level comes out at 1.8416 states/eV/atom. The spin magnetization comes out at 2.02 μB/f.u. The total DFT energy (no corrections) comes out at -6.51 eV/atom.

***

First-principles (PBEsol) data for an optimized crystal structure of Sc5Au4, as listed in the Alexandria database.

```
data_Sc5Au4
_cell_length_a 8.3529
_cell_length_b 8.3529
_cell_length_c 5.8288
_cell_angle_alpha 90.00
_cell_angle_beta 90.00
_cell_angle_gamma 120.00
_space_group_name_H-M_alt 'P 63/m c m'
_space_group_IT_number 193
_space_group_name_Hall '-P 6c 2'
loop_
_atom_site_label
_atom_site_fract_x
_atom_site_fract_y
_atom_site_fract_z
Sc1 0.0000 0.2870 0.2500
Sc2 0.3333 0.6667 0.0000
Au1 0.0000 0.0000 0.0000
Au2 0.0000 0.3899 0.7500
```

## Properties
The density of states at the Fermi level comes out at 0.9163 states/eV/atom. The spin magnetization comes out at 0.00 μB/f.u. The total DFT energy (no corrections) comes out at -6.12 eV/atom.

***

First-principles (PBEsol) data for an optimized crystal structure of YTlHg2, as listed in the Alexandria database.

```
data_YTlHg2
_cell_length_a 4.660
_cell_length_b 4.660
_cell_length_c 8.702
_cell_angle_alpha 90.00
_cell_angle_beta 90.00
_cell_angle_gamma 90.00
_space_group_name_H-M_alt 'I 4/m m m'
_space_group_IT_number 139
_space_group_name_Hall '-I 4 2'
loop_
_atom_site_label
_atom_site_fract_x
_atom_site_fract_y
_atom_site_fract_z
Y1 0.000 0.000 0.000
Tl1 0.000 0.000 0.500
Hg1 0.000 0.500 0.250
```

## Properties
The density of states at the Fermi level comes out at 0.4666 states/eV/atom. The spin magnetization comes out at 0.00 μB/f.u. The total DFT energy (no corrections) comes out at -3.02 eV/atom.

***

First-principles (PBEsol) data for an optimized crystal structure of CdSi2TeS, as listed in the Alexandria database.

```
data_CdSi2TeS
_cell_length_a 5.068
_cell_length_b 5.068
_cell_length_c 4.732
_cell_angle_alpha 90.00
_cell_angle_beta 90.00
_cell_angle_gamma 90.00
_space_group_name_H-M_alt 'P 4/m m m'
_space_group_IT_number 123
_space_group_name_Hall '-P 4 2'
loop_
_atom_site_label
_atom_site_fract_x
_atom_site_fract_y
_atom_site_fract_z
Cd1 0.000 0.000 0.000
Si1 0.000 0.500 0.000
Te1 0.500 0.500 0.500
S1 0.000 0.000 0.500
```

## Properties
The density of states at the Fermi level comes out at 0.7312 states/eV/atom. The spin magnetization comes out at 0.00 μB/f.u. The total DFT energy (no corrections) comes out at -3.20 eV/atom.

***

First-principles (PBEsol) data for an optimized crystal structure of BaTa2Ir, as listed in the Alexandria database.

```
data_BaTa2Ir
_cell_length_a 5.604
_cell_length_b 9.848
_cell_length_c 2.901
_cell_angle_alpha 90.00
_cell_angle_beta 90.00
_cell_angle_gamma 90.00
_space_group_name_H-M_alt 'C m m m'
_space_group_IT_number 65
_space_group_name_Hall '-C 2 2'
loop_
_atom_site_label
_atom_site_fract_x
_atom_site_fract_y
_atom_site_fract_z
Ba1 0.000 0.000 0.000
Ta1 0.250 0.250 0.500
Ir1 0.000 0.500 0.000
```

## Properties
For the distance to the lowest polymorph of the same formula, the calculation gives 18.400 kcal/mol of atoms. The density of states at the Fermi level comes out at 0.8429 states/eV/atom. The spin magnetization comes out at 0.00 μB/f.u. The total DFT energy (no corrections) comes out at -8.24 eV/atom.

***

First-principles (PBEsol) data for an optimized crystal structure of Ba4LiTc, as listed in the Alexandria database.

```
data_Ba4LiTc
_cell_length_a 9.925
_cell_length_b 9.925
_cell_length_c 9.925
_cell_angle_alpha 90.00
_cell_angle_beta 90.00
_cell_angle_gamma 90.00
_space_group_name_H-M_alt 'F -4 3 m'
_space_group_IT_number 216
_space_group_name_Hall 'F -4 2 3'
loop_
_atom_site_label
_atom_site_fract_x
_atom_site_fract_y
_atom_site_fract_z
Ba1 0.124 0.124 0.124
Li1 0.000 0.000 0.500
Tc1 0.250 0.250 0.750
```

## Properties
The density of states at the Fermi level comes out at 1.6542 states/eV/atom. The spin magnetization comes out at 1.75 μB/f.u. The total DFT energy (no corrections) comes out at -2.51 eV/atom.